Entry 1:
# ReHg2Os (SCAN, PBEsol geometry)
# Offset from the most stable computed form (meV/atom): 0
# Uncorrected energy (eV/f.u.): -275.25
data_ReHg2Os
_chemical_formula_sum 'Re1 Hg2 Os1'
_cell_length_a 2.8454
_cell_length_b 4.8617
_cell_length_c 4.8899
_cell_angle_alpha 90.00
_cell_angle_beta 90.00
_cell_angle_gamma 90.00
_space_group_name_H-M_alt 'P 1'
_space_group_IT_number 1
_space_group_name_Hall 'P 1'
loop_
_atom_site_label
_atom_site_type_symbol
_atom_site_fract_x
_atom_site_fract_y
_atom_site_fract_z
Re1 Re 0.0000 0.0000 0.0000
Hg1 Hg 0.0000 0.5000 0.5000
Hg2 Hg 0.5000 0.0000 0.5000
Os1 Os 0.5000 0.5000 0.0000

Entry 2:
# ReHg2Os (SCAN, PBEsol geometry)
# Offset from the most stable computed form (meV/atom): 96
# Uncorrected energy (eV/f.u.): -274.87
data_ReHg2Os
_chemical_formula_sum 'Re1 Hg2 Os1'
_cell_length_a 4.8362
_cell_length_b 4.8362
_cell_length_c 4.8362
_cell_angle_alpha 128.99
_cell_angle_beta 128.99
_cell_angle_gamma 75.03
_space_group_name_H-M_alt 'P 1'
_space_group_IT_number 1
_space_group_name_Hall 'P 1'
loop_
_atom_site_label
_atom_site_type_symbol
_atom_site_fract_x
_atom_site_fract_y
_atom_site_fract_z
Re1 Re 0.0000 0.0000 0.0000
Hg1 Hg 0.5000 0.5000 0.0000
Hg2 Hg 0.7500 0.2500 0.5000
Os1 Os 0.2500 0.7500 0.5000

Entry 3:
# ReHg3Os (SCAN, PBEsol geometry)
# Uncorrected energy (eV/f.u.): -337.69
data_ReHg3Os
_chemical_formula_sum 'Re1 Hg3 Os1'
_cell_length_a 5.1134
_cell_length_b 5.1134
_cell_length_c 5.1134
_cell_angle_alpha 90.00
_cell_angle_beta 90.00
_cell_angle_gamma 90.00
_space_group_name_H-M_alt 'P 1'
_space_group_IT_number 1
_space_group_name_Hall 'P 1'
loop_
_atom_site_label
_atom_site_type_symbol
_atom_site_fract_x
_atom_site_fract_y
_atom_site_fract_z
Re1 Re 0.0000 0.0000 0.0000
Hg1 Hg 0.0000 0.5000 0.5000
Hg2 Hg 0.5000 0.0000 0.5000
Hg3 Hg 0.5000 0.5000 0.0000
Os1 Os 0.5000 0.5000 0.5000

Entry 4:
# HgOs2Rh (SCAN, PBEsol geometry)
# Uncorrected energy (eV/f.u.): -243.43
data_HgOs2Rh
_chemical_formula_sum 'Hg1 Os2 Rh1'
_cell_length_a 9.2799
_cell_length_b 9.2799
_cell_length_c 9.2799
_cell_angle_alpha 17.11
_cell_angle_beta 17.11
_cell_angle_gamma 17.11
_space_group_name_H-M_alt 'P 1'
_space_group_IT_number 1
_space_group_name_Hall 'P 1'
loop_
_atom_site_label
_atom_site_type_symbol
_atom_site_fract_x
_atom_site_fract_y
_atom_site_fract_z
Hg1 Hg 0.0000 0.0000 0.0000
Os1 Os 0.2438 0.2438 0.2438
Os2 Os 0.7562 0.7562 0.7562
Rh1 Rh 0.5000 0.5000 0.5000

Entry 5:
# HgOs2Rh (SCAN, PBEsol geometry)
# Uncorrected energy (eV/f.u.): -244.42
data_HgOs2Rh
_chemical_formula_sum 'Hg1 Os2 Rh1'
_cell_length_a 2.7846
_cell_length_b 2.7846
_cell_length_c 7.8462
_cell_angle_alpha 90.00
_cell_angle_beta 90.00
_cell_angle_gamma 90.00
_space_group_name_H-M_alt 'P 1'
_space_group_IT_number 1
_space_group_name_Hall 'P 1'
loop_
_atom_site_label
_atom_site_type_symbol
_atom_site_fract_x
_atom_site_fract_y
_atom_site_fract_z
Hg1 Hg 0.0000 0.0000 0.0000
Os1 Os 0.0000 0.0000 0.4979
Os2 Os 0.5000 0.5000 0.2812
Rh1 Rh 0.5000 0.5000 0.7323

Entry 6:
# HgOs2Rh (SCAN, PBEsol geometry)
# Uncorrected energy (eV/f.u.): -242.33
data_HgOs2Rh
_chemical_formula_sum 'Hg1 Os2 Rh1'
_cell_length_a 4.4257
_cell_length_b 4.4257
_cell_length_c 4.4257
_cell_angle_alpha 60.00
_cell_angle_beta 60.00
_cell_angle_gamma 60.00
_space_group_name_H-M_alt 'P 1'
_space_group_IT_number 1
_space_group_name_Hall 'P 1'
loop_
_atom_site_label
_atom_site_type_symbol
_atom_site_fract_x
_atom_site_fract_y
_atom_site_fract_z
Hg1 Hg 0.0000 0.0000 0.0000
Os1 Os 0.5000 0.5000 0.5000
Os2 Os 0.7500 0.7500 0.7500
Rh1 Rh 0.2500 0.2500 0.2500

Entry 7:
# Hg2OsRh2 (SCAN, PBEsol geometry)
# Uncorrected energy (eV/f.u.): -270.11
data_Hg2OsRh2
_chemical_formula_sum 'Hg2 Os1 Rh2'
_cell_length_a 7.7930
_cell_length_b 7.7930
_cell_length_c 7.7930
_cell_angle_alpha 154.30
_cell_angle_beta 154.30
_cell_angle_gamma 36.66
_space_group_name_H-M_alt 'P 1'
_space_group_IT_number 1
_space_group_name_Hall 'P 1'
loop_
_atom_site_label
_atom_site_type_symbol
_atom_site_fract_x
_atom_site_fract_y
_atom_site_fract_z
Hg1 Hg 0.1001 0.1001 0.0000
Hg2 Hg 0.8999 0.8999 0.0000
Os1 Os 0.5000 0.5000 0.0000
Rh1 Rh 0.2500 0.7500 0.5000
Rh2 Rh 0.7500 0.2500 0.5000

Entry 8:
# HgOs2Rh (SCAN, PBEsol geometry)
# Uncorrected energy (eV/f.u.): -242.27
data_HgOs2Rh
_chemical_formula_sum 'Hg1 Os2 Rh1'
_cell_length_a 3.8015
_cell_length_b 3.8015
_cell_length_c 4.1829
_cell_angle_alpha 90.00
_cell_angle_beta 90.00
_cell_angle_gamma 90.00
_space_group_name_H-M_alt 'P 1'
_space_group_IT_number 1
_space_group_name_Hall 'P 1'
loop_
_atom_site_label
_atom_site_type_symbol
_atom_site_fract_x
_atom_site_fract_y
_atom_site_fract_z
Hg1 Hg 0.0000 0.0000 0.0000
Os1 Os 0.0000 0.5000 0.5000
Os2 Os 0.5000 0.0000 0.5000
Rh1 Rh 0.5000 0.5000 0.0000

Calculated E_form (eV/atom), listed in the same order as above: 1.0145; 1.1110; 1.9569; 0.5661; 0.3200; 0.8417; 1.1293; 0.8559